Entry 1:
The following is a GGA-PBE calculation of Pm2Nd12Tl5 after structural relaxation, from Alexandria.

Structure (POSCAR):
```
Pm2Nd12Tl5
1.0
7.1259 -5.0067 0.0000
7.1259 5.0067 0.0000
-0.9162 0.0000 8.7884
Pm Nd Tl
2 12 5
Direct
0.1633 0.8367 0.0000 Pm
0.8367 0.1633 0.0000 Pm
0.0849 0.6752 0.6356 Nd
0.0886 0.0886 0.6722 Nd
0.1621 0.5334 0.2008 Nd
0.3248 0.9151 0.3644 Nd
0.4067 0.4067 0.8540 Nd
0.4666 0.8379 0.7992 Nd
0.5334 0.1621 0.2008 Nd
0.5933 0.5933 0.1460 Nd
0.6752 0.0849 0.6356 Nd
0.8379 0.4666 0.7992 Nd
0.9114 0.9114 0.3278 Nd
0.9151 0.3248 0.3644 Nd
0.1974 0.1974 0.0102 Tl
0.2823 0.2823 0.5047 Tl
0.5000 0.5000 0.5000 Tl
0.7177 0.7177 0.4953 Tl
0.8026 0.8026 0.9898 Tl
```

**Uncorrected energy**: -80.34 eV per cell
**Calculated formation energy**: -1.8 eV per formula unit



Entry 2:
The following is a GGA-PBE calculation of Ac2Pm4Sn3N2 after structural relaxation, from Alexandria.

Structure (POSCAR):
```
Ac2Pm4Sn3N2
1.0
-2.4662 2.4662 13.2449
2.4662 -2.4662 13.2449
2.4662 2.4662 -13.2449
Ac Pm Sn N
2 4 3 2
Direct
0.1920 0.1920 0.0000 Ac
0.8080 0.8080 0.0000 Ac
0.0812 0.5812 0.5000 Pm
0.4188 0.9188 0.5000 Pm
0.5812 0.0812 0.5000 Pm
0.9188 0.4188 0.5000 Pm
0.3295 0.3295 0.0000 Sn
0.5000 0.5000 0.0000 Sn
0.6705 0.6705 0.0000 Sn
0.0986 0.0986 0.0000 N
0.9014 0.9014 0.0000 N
```

**Uncorrected energy**: -66.39 eV per cell
**Raw formation energy**: -0.96 eV/atom



Entry 3:
The following is a GGA-PBE calculation of Ac8SiRh3I4 after structural relaxation, from Alexandria.

Structure (POSCAR):
```
Ac8SiRh3I4
1.0
4.4686 2.5799 8.5466
-4.4686 2.5799 8.5466
0.0000 -5.1598 8.5466
Ac Si Rh I
8 1 3 4
Direct
0.2158 0.7344 0.7344 Ac
0.2297 0.2297 0.2297 Ac
0.2656 0.2656 0.7842 Ac
0.2656 0.7842 0.2656 Ac
0.7344 0.2158 0.7344 Ac
0.7344 0.7344 0.2158 Ac
0.7703 0.7703 0.7703 Ac
0.7842 0.2656 0.2656 Ac
0.5000 0.5000 0.5000 Si
0.0000 0.0000 0.5000 Rh
0.0000 0.5000 0.0000 Rh
0.5000 0.0000 0.0000 Rh
0.0000 0.0000 0.0000 I
0.0000 0.5000 0.5000 I
0.5000 0.0000 0.5000 I
0.5000 0.5000 0.0000 I
```

**Uncorrected energy**: -81.78 eV per cell
**Raw formation energy**: -0.95 eV/atom



Entry 4:
The following is a GGA-PBE calculation of MgBe2Si2 after structural relaxation, from Alexandria.

Structure (POSCAR):
```
MgBe2Si2
1.0
10.1540 0.0000 0.0000
0.0000 3.7093 0.0000
-1.3254 0.0000 3.6965
Mg Be Si
2 4 4
Direct
0.0000 0.0000 0.0000 Mg
0.5000 0.5000 0.0000 Mg
0.2438 0.5000 0.1636 Be
0.2562 0.0000 0.8364 Be
0.7438 0.0000 0.1636 Be
0.7562 0.5000 0.8364 Be
0.1239 0.5000 0.5646 Si
0.3761 0.0000 0.4354 Si
0.6239 0.0000 0.5646 Si
0.8761 0.5000 0.4354 Si
```

**Uncorrected energy**: -39.29 eV per cell
**Raw formation energy**: 0.05 eV/atom



Entry 5:
The following is a GGA-PBE calculation of MgPd2RhN after structural relaxation, from Alexandria.

Structure (POSCAR):
```
MgPd2RhN
1.0
4.2647 0.0000 0.0000
0.0000 4.2647 0.0000
0.0000 0.0000 3.9389
Mg Pd Rh N
1 2 1 1
Direct
0.0000 0.0000 0.0000 Mg
0.0000 0.5000 0.5000 Pd
0.5000 0.0000 0.5000 Pd
0.5000 0.5000 0.0000 Rh
0.5000 0.5000 0.5000 N
```

**Uncorrected energy**: -28.38 eV per cell
**Raw formation energy**: -0.14 eV/atom



Entry 6:
The following is a GGA-PBE calculation of ReTc2MoIr after structural relaxation, from Alexandria.

Structure (POSCAR):
```
ReTc2MoIr
1.0
4.6154 0.0000 0.0000
0.0000 4.6154 0.0000
0.0000 0.0000 4.6628
Re Tc Mo Ir
1 2 1 1
Direct
0.0000 0.0000 0.0000 Re
0.0000 0.5000 0.5000 Tc
0.5000 0.0000 0.5000 Tc
0.5000 0.5000 0.0000 Mo
0.5000 0.5000 0.5000 Ir
```

**Uncorrected energy**: -42.25 eV per cell
**Calculated formation energy**: 10.6 eV per formula unit



Entry 7:
The following is a GGA-PBE calculation of Ta4VMo after structural relaxation, from Alexandria.

Structure (POSCAR):
```
Ta4VMo
1.0
4.3854 0.0000 0.0000
0.0000 4.3854 0.0000
0.0000 0.0000 6.1584
Ta V Mo
4 1 1
Direct
0.0000 0.5000 0.2437 Ta
0.0000 0.5000 0.7563 Ta
0.5000 0.0000 0.2437 Ta
0.5000 0.0000 0.7563 Ta
0.0000 0.0000 0.0000 V
0.5000 0.5000 0.5000 Mo
```

**Uncorrected energy**: -63.42 eV per cell
**Excess energy over the best structure of this formula in the dataset**: 0.722 eV/atom
**Calculated formation energy**: 3.9 eV per formula unit



Entry 8:
The following is a GGA-PBE calculation of MgSi2Au after structural relaxation, from Alexandria.

Structure (POSCAR):
```
MgSi2Au
1.0
4.2051 0.0000 0.0000
0.0000 4.3140 0.0000
0.0000 0.0000 7.6280
Mg Si Au
2 4 2
Direct
0.0000 0.0000 0.0000 Mg
0.5000 0.5000 0.0000 Mg
0.0000 0.5000 0.2606 Si
0.0000 0.5000 0.7394 Si
0.5000 0.0000 0.2606 Si
0.5000 0.0000 0.7394 Si
0.0000 0.0000 0.5000 Au
0.5000 0.5000 0.5000 Au
```

**Uncorrected energy**: -29.64 eV per cell
**Raw formation energy**: 0.22 eV/atom